[1]
Compound: CeTmScPa
Source: Alexandria
Functional: PBE-GGA
Structure: relaxed

a = 5.353 Å, b = 5.353 Å, c = 5.353 Å
α = 60.00°, β = 60.00°, γ = 60.00°
Each line ends with the local moment (μB).
Sites, in units of the cell vectors:
Tm1 0.750 0.750 0.750  0.21
Pa1 0.250 0.250 0.250  0.87
Sc1 0.000 0.000 0.000  0.21
Ce1 0.500 0.500 0.500  0.69

Results
Density: 8.96 g cm⁻³
Raw total energy: -0.2295 hartree per atom
Formation energy from the elements: 0.31 eV per atom

***

[2]
Compound: GaBr
Source: Alexandria
Functional: PBE-GGA
Structure: relaxed

a = 4.293 Å, b = 7.872 Å, c = 7.465 Å
α = 90.00°, β = 90.00°, γ = 90.00°
Sites, in units of the cell vectors:
Br1 0.250 0.001 0.250
Br2 0.750 0.499 0.750
Br3 0.250 0.501 0.250
Br4 0.750 0.999 0.750
Ga1 0.250 0.750 0.584
Ga2 0.750 0.250 0.416
Ga3 0.250 0.250 0.916
Ga4 0.750 0.750 0.084

Results
Density: 3.94 g cm⁻³
Uncorrected formation energy: -95.5 kJ/mol of formula units
Raw total energy: -0.1045 hartree per atom

***

[3]
Compound: CoGeHIr2
Source: Alexandria
Functional: PBE-GGA
Structure: relaxed

a = 3.924 Å, b = 3.924 Å, c = 3.678 Å
α = 90.00°, β = 90.00°, γ = 90.00°
Sites, in units of the cell vectors:
Ge1 0.500 0.500 0.500
Co1 0.000 0.000 0.500
H1 0.000 0.000 0.000
Ir1 0.000 0.500 0.000
Ir2 0.500 0.000 0.000

Results
Density: 15.16 g cm⁻³
Raw total energy: -0.2407 hartree per atom

***

[4]
Compound: Li2BeHIr
Source: Alexandria
Functional: PBE-GGA
Structure: relaxed

a = 3.489 Å, b = 3.489 Å, c = 3.939 Å
α = 90.00°, β = 90.00°, γ = 90.00°
Sites, in units of the cell vectors:
H1 0.000 0.000 0.000
Be1 0.500 0.500 0.500
Li1 0.000 0.500 0.000
Li2 0.500 0.000 0.000
Ir1 0.000 0.000 0.500

Results
Density: 7.49 g cm⁻³
Raw total energy: -0.1525 hartree per atom

***

[5]
Compound: K3ZnGa4
Source: Alexandria
Functional: PBE-GGA
Structure: relaxed

a = 6.060 Å, b = 5.942 Å, c = 13.929 Å
α = 90.00°, β = 90.00°, γ = 90.00°
Sites, in units of the cell vectors:
Ga1 0.301 0.500 0.104
Ga2 0.301 0.500 0.896
Ga3 0.979 0.270 0.500
Ga4 0.699 0.000 0.396
Ga5 0.021 0.770 0.000
Ga6 0.979 0.730 0.500
Ga7 0.021 0.230 0.000
Ga8 0.699 0.000 0.604
Zn1 0.322 0.000 0.500
Zn2 0.678 0.500 0.000
K1 0.518 0.000 0.000
K2 0.482 0.500 0.500
K3 0.788 0.500 0.246
K4 0.212 0.000 0.746
K5 0.788 0.500 0.754
K6 0.212 0.000 0.254

Results
Density: 3.06 g cm⁻³
Raw total energy: -0.0782 hartree per atom
Formation energy from the elements: -0.04 eV per atom

***

[6]
Compound: Pm2MnAl3Au12
Source: Alexandria
Functional: PBE-GGA
Structure: relaxed

a = 8.134 Å, b = 8.134 Å, c = 8.134 Å
α = 63.75°, β = 63.75°, γ = 63.75°
Each line ends with the local moment (μB).
Sites, in units of the cell vectors:
Au1 0.134 0.134 0.623  0.02
Au2 0.134 0.623 0.134  0.02
Au3 0.623 0.134 0.134  0.02
Au4 0.111 0.638 0.638  -0.01
Au5 0.377 0.866 0.866  0.02
Au6 0.638 0.638 0.111  -0.01
Au7 0.866 0.377 0.866  0.02
Au8 0.889 0.362 0.362  -0.01
Au9 0.638 0.111 0.638  -0.01
Au10 0.362 0.362 0.889  -0.01
Au11 0.362 0.889 0.362  -0.01
Au12 0.866 0.866 0.377  0.02
Mn1 0.000 0.000 0.000  4.02
Pm1 0.612 0.612 0.612  -0.01
Pm2 0.388 0.388 0.388  -0.01
Al1 0.000 0.000 0.500  0.00
Al2 0.500 0.000 0.000  0.00
Al3 0.000 0.500 0.000  0.00

Results
Density: 11.24 g cm⁻³
Raw total energy: -0.1464 hartree per atom
Formation energy from the elements: -0.14 eV per atom